Entry 1:
Computed, not measured: an optimized crystal structure of LuAgGeTe3 at the PBE-GGA level of DFT.

Cell: 7.4996 7.4996 11.0198 Å, 90.00 90.00 32.40°
Closest atoms and distances in Å follow each position.
Sites, in units of the cell vectors:
Ag: 0.4785 0.4785 0.2500  4 Te 2.79-2.81
Ag: 0.5215 0.5215 0.7500  4 Te 2.79-2.81
Ge: 0.7811 0.7811 0.2500  6 Te 3.13-3.25
Ge: 0.2189 0.2189 0.7500  6 Te 3.13-3.25
Lu: 0.0000 0.0000 0.0000  6 Te 3.07-3.17
Lu: 0.0000 0.0000 0.5000  6 Te 3.07-3.17
Te: 0.3512 0.3512 0.0598  1 Ag 2.79, 2 Lu 3.07
Te: 0.1083 0.1083 0.2500  2 Ag 2.81
Te: 0.3512 0.3512 0.4402  1 Ag 2.79, 2 Lu 3.07
Te: 0.6488 0.6488 0.5598  1 Ag 2.79, 2 Lu 3.07
Te: 0.8917 0.8917 0.7500  2 Ag 2.81
Te: 0.6488 0.6488 0.9402  1 Ag 2.79, 2 Lu 3.07

Properties
- total moment (μB/f.u.) = 0.00
- V (Å³ per cell) = 332.1
- uncorrected energy (eV per atom) = -4.058
- distance to the lowest polymorph of the same formula (meV/atom) = 41

***

Entry 2:
Computed, not measured: an optimized crystal structure of LuAgGeTe3 at the PBE-GGA level of DFT.

Cell: 14.1111 4.1770 11.4354 Å, 90.00 90.00 90.00°
Closest atoms and distances in Å follow each position.
Sites, in units of the cell vectors:
Ag: 0.9942 0.7500 0.0881  4 Te 2.78-2.96, 2 Ag 2.91
Ag: 0.4942 0.7500 0.4119  4 Te 2.78-2.96, 2 Ag 2.91
Ag: 0.5058 0.2500 0.5881  4 Te 2.78-2.96, 2 Ag 2.91
Ag: 0.0058 0.2500 0.9119  4 Te 2.78-2.96, 2 Ag 2.91
Ge: 0.7845 0.2500 0.0568  6 Te 3.10-3.17
Ge: 0.2845 0.2500 0.4432  6 Te 3.10-3.17
Ge: 0.7155 0.7500 0.5568  6 Te 3.10-3.17
Ge: 0.2155 0.7500 0.9432  6 Te 3.10-3.17
Lu: 0.4947 0.2500 0.1781  6 Te 3.05-3.09, 2 Ag 3.39
Lu: 0.9947 0.2500 0.3219  6 Te 3.05-3.09, 2 Ag 3.39
Lu: 0.0053 0.7500 0.6781  6 Te 3.05-3.09, 2 Ag 3.39
Lu: 0.5053 0.7500 0.8219  6 Te 3.05-3.09, 2 Ag 3.39
Te: 0.6160 0.7500 0.0547  3 Lu 3.05-3.09, 2 Ge 3.16
Te: 0.1339 0.2500 0.1164  3 Ag 2.89-2.96, 1 Lu 3.06, 2 Ge 3.10
Te: 0.3476 0.7500 0.2497  1 Ag 2.78, 2 Lu 3.06
Te: 0.8476 0.7500 0.2503  1 Ag 2.78, 2 Lu 3.06
Te: 0.6339 0.2500 0.3836  3 Ag 2.89-2.96, 1 Lu 3.06, 2 Ge 3.10
Te: 0.1160 0.7500 0.4453  3 Lu 3.05-3.09, 2 Ge 3.16
Te: 0.8840 0.2500 0.5547  3 Lu 3.05-3.09, 2 Ge 3.16
Te: 0.3661 0.7500 0.6164  3 Ag 2.89-2.96, 1 Lu 3.06, 2 Ge 3.10
Te: 0.1524 0.2500 0.7497  1 Ag 2.78, 2 Lu 3.06
Te: 0.6524 0.2500 0.7503  1 Ag 2.78, 2 Lu 3.06
Te: 0.8661 0.7500 0.8836  3 Ag 2.89-2.96, 1 Lu 3.06, 2 Ge 3.10
Te: 0.3840 0.2500 0.9453  3 Lu 3.05-3.09, 2 Ge 3.16

Properties
- total moment (μB/f.u.) = 0.00
- V (Å³ per cell) = 674.0
- uncorrected energy (eV per atom) = -4.085
- distance to the lowest polymorph of the same formula (meV/atom) = 14

***

Entry 3:
Computed, not measured: an optimized crystal structure of LuAgGeTe3 at the PBE-GGA level of DFT.

Cell: 12.5366 4.3614 12.6263 Å, 90.00 90.00 90.00°
Closest atoms and distances in Å follow each position.
Sites, in units of the cell vectors:
Ag: 0.7992 0.5000 0.2410  4 Te 2.72-2.84
Ag: 0.2992 0.0000 0.2590  4 Te 2.72-2.84
Ag: 0.7008 0.5000 0.7410  4 Te 2.72-2.84
Ag: 0.2008 0.0000 0.7590  4 Te 2.72-2.84
Ge: 0.0077 0.0000 0.1602  3 Te 2.87-3.00
Ge: 0.5077 0.5000 0.3398  3 Te 2.87-3.00
Ge: 0.4923 0.0000 0.6602  3 Te 2.87-3.00
Ge: 0.9923 0.5000 0.8398  3 Te 2.87-3.00
Lu: 0.6823 0.0000 0.0290  6 Te 2.99-3.24
Lu: 0.1823 0.5000 0.4710  6 Te 2.99-3.24
Lu: 0.8177 0.0000 0.5290  6 Te 2.99-3.24
Lu: 0.3177 0.5000 0.9710  6 Te 2.99-3.24
Te: 0.8681 0.5000 0.0312  1 Ag 2.79, 1 Ge 2.87
Te: 0.4308 0.0000 0.0874  1 Ag 2.72, 2 Lu 2.99
Te: 0.1582 0.5000 0.2261  2 Ag 2.84, 2 Ge 3.00, 1 Lu 3.11
Te: 0.6582 0.0000 0.2739  2 Ag 2.84, 2 Ge 3.00, 1 Lu 3.11
Te: 0.9308 0.5000 0.4126  1 Ag 2.72, 2 Lu 2.99
Te: 0.3681 0.0000 0.4688  1 Ag 2.79, 1 Ge 2.87
Te: 0.6319 0.5000 0.5312  1 Ag 2.79, 1 Ge 2.87
Te: 0.0692 0.0000 0.5874  1 Ag 2.72, 2 Lu 2.99
Te: 0.3418 0.5000 0.7261  2 Ag 2.84, 2 Ge 3.00, 1 Lu 3.11
Te: 0.8418 0.0000 0.7739  2 Ag 2.84, 2 Ge 3.00, 1 Lu 3.11
Te: 0.5692 0.5000 0.9126  1 Ag 2.72, 2 Lu 2.99
Te: 0.1319 0.0000 0.9688  1 Ag 2.79, 1 Ge 2.87

Properties
- total moment (μB/f.u.) = 0.01
- V (Å³ per cell) = 690.4
- uncorrected energy (eV per atom) = -4.018
- distance to the lowest polymorph of the same formula (meV/atom) = 81

***

Entry 4:
Computed, not measured: an optimized crystal structure of LuAgGeTe3 at the PBE-GGA level of DFT.

Cell: 13.0604 4.3051 12.5570 Å, 90.00 90.00 90.00°
Closest atoms and distances in Å follow each position.
Sites, in units of the cell vectors:
Ag: 0.7398 0.7500 0.1895  4 Te 2.72-2.90
Ag: 0.2398 0.7500 0.3105  4 Te 2.72-2.90
Ag: 0.7602 0.2500 0.6895  4 Te 2.72-2.90
Ag: 0.2602 0.2500 0.8105  4 Te 2.72-2.90
Ge: 0.3443 0.7500 0.0182  3 Te 2.87-2.95
Ge: 0.8443 0.7500 0.4818  3 Te 2.87-2.95
Ge: 0.1557 0.2500 0.5182  3 Te 2.87-2.95
Ge: 0.6557 0.2500 0.9818  3 Te 2.87-2.95
Lu: 0.0356 0.2500 0.1768  6 Te 2.99-3.18
Lu: 0.5356 0.2500 0.3232  6 Te 2.99-3.18
Lu: 0.4644 0.7500 0.6768  6 Te 2.99-3.18
Lu: 0.9644 0.7500 0.8232  6 Te 2.99-3.18
Te: 0.9139 0.7500 0.0710  1 Ag 2.72, 2 Lu 2.99
Te: 0.5317 0.7500 0.1383  1 Ag 2.79, 1 Ge 2.87
Te: 0.2697 0.2500 0.1592  2 Ag 2.90, 2 Ge 2.95, 1 Lu 3.06
Te: 0.7697 0.2500 0.3408  2 Ag 2.90, 2 Ge 2.95, 1 Lu 3.06
Te: 0.0317 0.7500 0.3617  1 Ag 2.79, 1 Ge 2.87
Te: 0.4139 0.7500 0.4290  1 Ag 2.72, 2 Lu 2.99
Te: 0.5861 0.2500 0.5710  1 Ag 2.72, 2 Lu 2.99
Te: 0.9683 0.2500 0.6383  1 Ag 2.79, 1 Ge 2.87
Te: 0.2303 0.7500 0.6592  2 Ag 2.90, 2 Ge 2.95, 1 Lu 3.06
Te: 0.7303 0.7500 0.8408  2 Ag 2.90, 2 Ge 2.95, 1 Lu 3.06
Te: 0.4683 0.2500 0.8617  1 Ag 2.79, 1 Ge 2.87
Te: 0.0861 0.2500 0.9290  1 Ag 2.72, 2 Lu 2.99

Properties
- total moment (μB/f.u.) = 0.01
- V (Å³ per cell) = 706.0
- uncorrected energy (eV per atom) = -4.023
- distance to the lowest polymorph of the same formula (meV/atom) = 75

***

Entry 5:
Computed, not measured: an optimized crystal structure of MgAgGe2 at the PBE-GGA level of DFT.

Cell: 4.7741 4.7741 4.7741 Å, 60.00 60.00 60.00°
Closest atoms and distances in Å follow each position.
Sites, in units of the cell vectors:
Ag: 0.5000 0.5000 0.5000  4 Ge 2.92, 4 Mg 2.92
Ge: 0.0000 0.0000 0.0000  4 Ge 2.92, 4 Mg 2.92
Ge: 0.2500 0.2500 0.2500  4 Ge 2.92, 4 Ag 2.92
Mg: 0.7500 0.7500 0.7500  4 Ge 2.92, 4 Ag 2.92

Properties
- V (Å³ per cell) = 76.9
- uncorrected energy (eV per atom) = -3.309

***

Entry 6:
Computed, not measured: an optimized crystal structure of SrMgAgGe2 at the PBE-GGA level of DFT.

Cell: 6.4898 6.4898 6.4898 Å, 139.99 139.99 57.87°
Closest atoms and distances in Å follow each position.
Sites, in units of the cell vectors:
Ag: 0.7500 0.2500 0.5000  4 Ge 2.73
Ge: 0.3895 0.3895 0.0000  1 Ge 2.51, 2 Ag 2.73, 2 Mg 2.73
Ge: 0.6105 0.6105 0.0000  1 Ge 2.51, 2 Mg 2.73, 2 Ag 2.73
Mg: 0.2500 0.7500 0.5000  4 Ge 2.73
Sr: 0.0000 0.0000 0.0000  8 Ge 3.38, 4 Mg 3.60, 4 Ag 3.60

Properties
- V (Å³ per cell) = 112.0
- uncorrected energy (eV per atom) = -3.497

***

Entry 7:
Computed, not measured: an optimized crystal structure of AgGeMo2 at the PBE-GGA level of DFT.

Cell: 4.5001 4.5001 4.5001 Å, 60.00 60.00 60.00°
Closest atoms and distances in Å follow each position.
Sites, in units of the cell vectors:
Ag: 0.2500 0.2500 0.2500  4 Ge 2.76, 4 Mo 2.76
Ge: 0.5000 0.5000 0.5000  4 Ag 2.76, 4 Mo 2.76
Mo: 0.0000 0.0000 0.0000  4 Ag 2.76, 4 Mo 2.76
Mo: 0.7500 0.7500 0.7500  4 Ge 2.76, 4 Mo 2.76

Properties
- total moment (μB/f.u.) = 0.02
- V (Å³ per cell) = 64.4
- uncorrected energy (eV per atom) = -6.817

***

Entry 8:
Computed, not measured: an optimized crystal structure of AgGe5Mo3 at the PBE-GGA level of DFT.

Cell: 5.3737 5.3737 6.7552 Å, 90.00 90.00 120.00°
Closest atoms and distances in Å follow each position.
Sites, in units of the cell vectors:
Ag: 0.0000 0.0000 0.0000  14 Ge 3.34-3.38
Ge: 0.6667 0.3333 0.1838  1 Ge 2.48, 3 Mo 2.64
Ge: 0.3333 0.6667 0.1838  1 Ge 2.48, 3 Mo 2.64
Ge: 0.0000 0.0000 0.5000  6 Mo 2.69
Ge: 0.6667 0.3333 0.8162  1 Ge 2.48, 3 Mo 2.64
Ge: 0.3333 0.6667 0.8162  1 Ge 2.48, 3 Mo 2.64
Mo: 0.5000 0.0000 0.5000  6 Ge 2.64-2.69, 4 Mo 2.69
Mo: 0.0000 0.5000 0.5000  6 Ge 2.64-2.69, 4 Mo 2.69
Mo: 0.5000 0.5000 0.5000  6 Ge 2.64-2.69, 4 Mo 2.69

Properties
- total moment (μB/f.u.) = 0.01
- V (Å³ per cell) = 168.9
- uncorrected energy (eV per atom) = -6.274

***

Entry 9:
Computed, not measured: an optimized crystal structure of AgGe2Mo at the PBE-GGA level of DFT.

Cell: 4.5986 4.5986 4.5986 Å, 60.00 60.00 60.00°
Closest atoms and distances in Å follow each position.
Sites, in units of the cell vectors:
Ag: 0.5000 0.5000 0.5000  4 Ge 2.82, 4 Mo 2.82
Ge: 0.0000 0.0000 0.0000  4 Mo 2.82, 4 Ge 2.82
Ge: 0.2500 0.2500 0.2500  4 Ge 2.82, 4 Ag 2.82
Mo: 0.7500 0.7500 0.7500  4 Ag 2.82, 4 Ge 2.82

Properties
- total moment (μB/f.u.) = 0.05
- V (Å³ per cell) = 68.8
- uncorrected energy (eV per atom) = -5.109

***

Entry 10:
Computed, not measured: an optimized crystal structure of AgGeNO at the PBE-GGA level of DFT.

Cell: 3.0978 5.5251 6.2704 Å, 90.00 90.00 90.00°
Closest atoms and distances in Å follow each position.
Sites, in units of the cell vectors:
Ag: 0.5000 0.9803 0.1361  2 O 2.28-2.52, 2 N 2.32
Ag: 0.5000 0.4803 0.8639  2 O 2.28-2.52, 2 N 2.32
Ge: 0.0000 0.5107 0.3775  2 N 1.79-1.81, 2 O 1.88
Ge: 0.0000 0.0107 0.6225  2 N 1.79-1.81, 2 O 1.88
N: 0.0000 0.8375 0.3805  2 Ge 1.79-1.81
N: 0.0000 0.3375 0.6195  2 Ge 1.79-1.81
O: 0.5000 0.4255 0.2249  2 Ge 1.88
O: 0.5000 0.9255 0.7751  2 Ge 1.88

Properties
- V (Å³ per cell) = 107.3
- uncorrected energy (eV per atom) = -5.433
- distance to the lowest polymorph of the same formula (meV/atom) = 105

***

Entry 11:
Computed, not measured: an optimized crystal structure of AgGeNO at the PBE-GGA level of DFT.

Cell: 3.1082 5.3424 6.4281 Å, 90.00 90.00 90.00°
Closest atoms and distances in Å follow each position.
Sites, in units of the cell vectors:
Ag: 0.0000 0.5242 0.4087  2 N 2.20-2.22
Ag: 0.0000 0.0242 0.5913  2 N 2.20-2.22
Ge: 0.5000 0.9936 0.1377  2 O 1.82-1.83, 2 N 1.82
Ge: 0.5000 0.4936 0.8623  2 O 1.82-1.83, 2 N 1.82
N: 0.0000 0.9012 0.2641  2 Ge 1.82
N: 0.0000 0.4013 0.7359  2 Ge 1.82
O: 0.5000 0.3349 0.1129  2 Ge 1.82-1.83
O: 0.5000 0.8349 0.8871  2 Ge 1.82-1.83

Properties
- V (Å³ per cell) = 106.7
- uncorrected energy (eV per atom) = -5.538
- distance to the lowest polymorph of the same formula (meV/atom) = 0

***

Entry 12:
Computed, not measured: an optimized crystal structure of AgGeNO at the PBE-GGA level of DFT.

Cell: 3.9862 3.9862 7.9651 Å, 90.00 90.00 90.07°
Closest atoms and distances in Å follow each position.
Sites, in units of the cell vectors:
Ag: 0.7500 0.2500 0.5000  4 N 2.10
Ag: 0.2500 0.7500 0.5000  4 N 2.10
Ge: 0.2500 0.2500 0.1105  4 O 2.18
Ge: 0.7500 0.7500 0.8895  4 O 2.18
N: 0.7500 0.7500 0.4160  4 Ag 2.10
N: 0.2500 0.2500 0.5840  4 Ag 2.10
O: 0.7500 0.2500 0.0000  4 Ge 2.18
O: 0.2500 0.7500 0.0000  4 Ge 2.18

Properties
- V (Å³ per cell) = 126.6
- uncorrected energy (eV per atom) = -4.706
- distance to the lowest polymorph of the same formula (meV/atom) = 832

***

Which of these has the highest V?
number 4